A geometry-optimized Hf2Si2I structure, computed with PBE.

Unit cell a=7.7250 b=7.7250 c=3.4193 alpha=90.00 beta=90.00 gamma=90.00
With the nearest neighbours (Å) after each atom.
Sites, in units of the cell vectors:
Hf 0.1652 0.3348 0.0000  6 Si 2.80-2.92, 2 I 2.88
Hf 0.3348 0.8348 0.0000  6 Si 2.80-2.92, 2 I 2.88
Hf 0.6652 0.1652 0.0000  6 Si 2.80-2.92, 2 I 2.88
Hf 0.8348 0.6652 0.0000  6 Si 2.80-2.92, 2 I 2.88
Si 0.1182 0.6182 0.5000  1 Si 2.58, 4 Hf 2.80
Si 0.3818 0.1182 0.5000  1 Si 2.58, 4 Hf 2.80
Si 0.6182 0.8818 0.5000  1 Si 2.58, 4 Hf 2.80
Si 0.8818 0.3818 0.5000  1 Si 2.58, 4 Hf 2.80
I 0.0000 0.0000 0.0000  4 Hf 2.88
I 0.5000 0.5000 0.0000  4 Hf 2.88

Calculated values
**Uncorrected formation energy**: -249 meV per atom
**Density**: 8.8 g/cm³
**Energy above the most stable polymorph in this dataset**: 0.0 meV per atom

A geometry-optimized Ta2SbP structure, computed with PBE.

Unit cell a=3.6457 b=3.6457 c=19.9722 alpha=90.00 beta=90.00 gamma=120.00
With the nearest neighbours (Å) after each atom.
Sites, in units of the cell vectors:
Ta 0.0000 0.0000 0.2278  3 P 2.43
Ta 0.0000 0.0000 0.7722  3 P 2.43
Ta 0.3333 0.6667 0.4389  3 P 2.43
Ta 0.3333 0.6667 0.8945  3 P 2.43
Ta 0.6667 0.3333 0.1055  3 P 2.43
Ta 0.6667 0.3333 0.5611  3 P 2.43
Sb 0.0000 0.0000 0.0000  6 Ta 2.98
Sb 0.3333 0.6667 0.6667  6 Ta 2.98
Sb 0.6667 0.3333 0.3333  6 Ta 2.98
P 0.0000 0.0000 0.5000  6 Ta 2.43
P 0.3333 0.6667 0.1667  6 Ta 2.43
P 0.6667 0.3333 0.8333  6 Ta 2.43

Calculated values
**Uncorrected formation energy**: -250 meV per atom
**Density**: 11.2 g/cm³

A geometry-optimized SrYBe2Cu structure, computed with PBE.

Unit cell a=4.5473 b=4.5473 c=5.1256 alpha=90.00 beta=90.00 gamma=90.00
With the nearest neighbours (Å) after each atom.
Sites, in units of the cell vectors:
Sr 0.0000 0.0000 0.0000  2 Cu 2.56
Y 0.5000 0.5000 0.0000  4 Sr 3.22, 8 Be 3.43
Be 0.0000 0.5000 0.5000  2 Cu 2.27
Be 0.5000 0.0000 0.5000  2 Cu 2.27
Cu 0.0000 0.0000 0.5000  4 Be 2.27

Calculated values
**Formation energy from the elements**: 607 meV per atom
**Density**: 4.0 g/cm³

A geometry-optimized MnPd2Ru structure, computed with PBE.

Unit cell a=6.1020 b=6.1020 c=6.1020 alpha=90.00 beta=90.00 gamma=90.00
With the nearest neighbours (Å) after each atom.
Sites, in units of the cell vectors:
Mn 0.0000 0.0000 0.0000  8 Pd 2.64
Mn 0.0000 0.5000 0.5000  8 Pd 2.64
Mn 0.5000 0.0000 0.5000  8 Pd 2.64
Mn 0.5000 0.5000 0.0000  8 Pd 2.64
Pd 0.2500 0.2500 0.2500  4 Mn 2.64, 4 Ru 2.64
Pd 0.2500 0.2500 0.7500  4 Mn 2.64, 4 Ru 2.64
Pd 0.2500 0.7500 0.2500  4 Ru 2.64, 4 Mn 2.64
Pd 0.2500 0.7500 0.7500  4 Mn 2.64, 4 Ru 2.64
Pd 0.7500 0.2500 0.2500  4 Ru 2.64, 4 Mn 2.64
Pd 0.7500 0.2500 0.7500  4 Mn 2.64, 4 Ru 2.64
Pd 0.7500 0.7500 0.2500  4 Mn 2.64, 4 Ru 2.64
Pd 0.7500 0.7500 0.7500  4 Ru 2.64, 4 Mn 2.64
Ru 0.0000 0.0000 0.5000  8 Pd 2.64
Ru 0.0000 0.5000 0.0000  8 Pd 2.64
Ru 0.5000 0.0000 0.0000  8 Pd 2.64
Ru 0.5000 0.5000 0.5000  8 Pd 2.64

Calculated values
**Formation energy from the elements**: 550 meV per atom
**Density**: 10.8 g/cm³

A geometry-optimized LaPmPaO6 structure, computed with PBE.

Unit cell a=6.0370 b=6.0370 c=4.6863 alpha=90.00 beta=90.00 gamma=120.00
With the nearest neighbours (Å) after each atom.
Sites, in units of the cell vectors:
La 0.0000 0.0000 0.0000  6 O 2.42
Pm 0.6667 0.3333 0.0000  6 O 2.37
Pa 0.3333 0.6667 0.5000  6 O 2.20
O 0.0220 0.3618 0.2495  1 Pa 2.20, 1 Pm 2.37, 1 La 2.42
O 0.0220 0.6602 0.7505  1 Pa 2.20, 1 Pm 2.37, 1 La 2.42
O 0.3398 0.3618 0.7505  1 Pa 2.20, 1 Pm 2.37, 1 La 2.42
O 0.3398 0.9780 0.2495  1 Pa 2.20, 1 Pm 2.37, 1 La 2.42
O 0.6382 0.6602 0.2495  1 Pa 2.20, 1 Pm 2.37, 1 La 2.42
O 0.6382 0.9780 0.7505  1 Pa 2.20, 1 Pm 2.37, 1 La 2.42

Calculated values
**Uncorrected formation energy**: -3128 meV per atom
**Density**: 6.9 g/cm³

A geometry-optimized La12CeHo3 structure, computed with PBE.

Unit cell a=5.2016 b=5.2016 c=20.7807 alpha=90.00 beta=90.00 gamma=90.00
With the nearest neighbours (Å) after each atom.
Sites, in units of the cell vectors:
La 0.0000 0.0000 0.0000  8 La 3.64, 4 Ce 3.68
La 0.0000 0.0000 0.2502  8 La 3.67-3.72, 4 Ho 3.68
La 0.0000 0.0000 0.5000  4 Ho 3.68, 8 La 3.68
La 0.0000 0.0000 0.7498  8 La 3.67-3.72, 4 Ho 3.68
La 0.0000 0.5000 0.1223  8 La 3.64-3.72, 2 Ce 3.64, 2 Ho 3.71
La 0.0000 0.5000 0.3746  8 La 3.67-3.68, 4 Ho 3.67-3.68
La 0.0000 0.5000 0.6254  8 La 3.67-3.68, 4 Ho 3.67-3.68
La 0.0000 0.5000 0.8777  8 La 3.64-3.72, 2 Ce 3.64, 2 Ho 3.71
La 0.5000 0.0000 0.1223  8 La 3.64-3.72, 2 Ce 3.64, 2 Ho 3.71
La 0.5000 0.0000 0.3746  8 La 3.67-3.68, 4 Ho 3.67-3.68
La 0.5000 0.0000 0.6254  8 La 3.67-3.68, 4 Ho 3.67-3.68
La 0.5000 0.0000 0.8777  8 La 3.64-3.72, 2 Ce 3.64, 2 Ho 3.71
Ce 0.5000 0.5000 0.0000  12 La 3.64-3.68
Ho 0.5000 0.5000 0.2497  12 La 3.67-3.71
Ho 0.5000 0.5000 0.5000  12 La 3.68
Ho 0.5000 0.5000 0.7503  12 La 3.67-3.71

Calculated values
**Formation energy from the elements**: 24 meV per atom
**Density**: 6.8 g/cm³

Among the records above, which one has the highest density?
Ta2SbP